(1)
! SCAN Rb2TlHg2, PBEsol geometry; values from VASP
! - SG = P4/mbm, No. 127
&SYSTEM
  ibrav = 0, nat = 10, ntyp = 3
/
ATOMIC_SPECIES
Rb 85.47 Rb.upf
Tl 204.38 Tl.upf
Hg 200.59 Hg.upf
ATOMIC_POSITIONS crystal
Rb 0.176 0.324 0.000
Rb 0.324 0.824 0.000
Rb 0.676 0.176 0.000
Rb 0.824 0.676 0.000
Tl 0.000 0.000 0.500
Tl 0.500 0.500 0.500
Hg 0.132 0.632 0.500
Hg 0.368 0.132 0.500
Hg 0.632 0.868 0.500
Hg 0.868 0.368 0.500
CELL_PARAMETERS angstrom
8.008 0.000 0.000
0.000 8.008 0.000
0.000 0.000 5.581



(2)
! SCAN RbTl3Hg, PBEsol geometry; values from VASP
! - SG = Pm-3m, No. 221
&SYSTEM
  ibrav = 0, nat = 5, ntyp = 3
/
ATOMIC_SPECIES
Rb 85.47 Rb.upf
Tl 204.38 Tl.upf
Hg 200.59 Hg.upf
ATOMIC_POSITIONS crystal
Rb 0.000 0.000 0.000
Tl 0.000 0.500 0.500
Tl 0.500 0.000 0.500
Tl 0.500 0.500 0.000
Hg 0.500 0.500 0.500
CELL_PARAMETERS angstrom
5.770 0.000 0.000
0.000 5.770 0.000
0.000 0.000 5.770



(3)
! SCAN Rb3HgW, PBEsol geometry; values from VASP
! - SG = Pm-3m, No. 221
&SYSTEM
  ibrav = 0, nat = 5, ntyp = 3
/
ATOMIC_SPECIES
Rb 85.47 Rb.upf
Hg 200.59 Hg.upf
W 183.84 W.upf
ATOMIC_POSITIONS crystal
Rb 0.000 0.000 0.500
Rb 0.000 0.500 0.000
Rb 0.500 0.000 0.000
Hg 0.500 0.500 0.500
W 0.000 0.000 0.000
CELL_PARAMETERS angstrom
6.951 0.000 0.000
0.000 6.951 0.000
0.000 0.000 6.951



| no. | Fermi-level density of states (states/eV/f.u.) | ΔH_f (0 K) (eV per atom) | DFT total energy (eV for the cell shown) |
| --- | --- | --- | --- |
| 1 | 3.78 | -0.213 | -502.471 |
| 2 | 3.89 | 0.103 | -305.463 |
| 3 | 2.29 | 1.352 | -193.309 |